# BeCrNO2 | the Alexandria database | meta-GGA SCAN | single point on PBEsol structure
# Raw formation energy (meV/atom): -400
# Total magnetic moment (μB per cell): 0.00
# E_tot (eV per atom): -9.298
data_BeCrNO2
_chemical_formula_sum 'Be1 Cr1 N1 O2'
_cell_length_a 3.485
_cell_length_b 3.485
_cell_length_c 3.937
_cell_angle_alpha 90.00
_cell_angle_beta 90.00
_cell_angle_gamma 90.00
_space_group_name_H-M_alt 'P 1'
_space_group_IT_number 1
loop_
_space_group_symop_operation_xyz
'x,y,z'
loop_
_atom_site_label
_atom_site_fract_x
_atom_site_fract_y
_atom_site_fract_z
Cr1 0.000 0.000 0.000
Be1 0.500 0.500 0.500
O1 0.000 0.500 0.000
O2 0.500 0.000 0.000
N1 0.000 0.000 0.500